a) {"formula": "As3AuC", "functional": "PBE", "state": "optimized geometry", "cell": [[4.379, 0.000, 0.000], [0.000, 4.379, 0.000], [0.000, 0.000, 4.379]], "species": ["As", "As", "As", "Au", "C"], "frac_coords": [[0.000, 0.000, 0.500], [0.000, 0.500, 0.000], [0.500, 0.000, 0.000], [0.500, 0.500, 0.500], [0.000, 0.000, 0.000]], "space_group": "Pm-3m (221)"}

***

b) {"formula": "As3AuC", "functional": "PBE", "state": "optimized geometry", "cell": [[5.042, 0.000, 0.000], [0.000, 5.042, 0.000], [0.000, 0.000, 5.042]], "species": ["As", "As", "As", "Au", "C"], "frac_coords": [[0.000, 0.000, 0.500], [0.000, 0.500, 0.000], [0.500, 0.000, 0.000], [0.000, 0.000, 0.000], [0.500, 0.500, 0.500]], "space_group": "Pm-3m (221)"}

***

Of them, the most stable is a) and the least stable is b).

***

a) {"formula": "As2AuCI", "functional": "PBE", "state": "optimized geometry", "cell": [[5.447, 0.000, 0.000], [0.000, 5.447, 0.000], [0.000, 0.000, 3.832]], "species": ["As", "As", "Au", "C", "I"], "frac_coords": [[0.000, 0.500, 0.000], [0.500, 0.000, 0.000], [0.000, 0.000, 0.000], [0.000, 0.000, 0.500], [0.500, 0.500, 0.500]], "space_group": "P4/mmm (123)"}

***

b) {"formula": "As2AuCI", "functional": "PBE", "state": "optimized geometry", "cell": [[4.906, 0.000, 0.000], [0.000, 4.906, 0.000], [0.000, 0.000, 4.121]], "species": ["As", "As", "Au", "C", "I"], "frac_coords": [[0.000, 0.500, 0.000], [0.500, 0.000, 0.000], [0.000, 0.000, 0.500], [0.000, 0.000, 0.000], [0.500, 0.500, 0.500]], "space_group": "P4/mmm (123)"}

***

Of them, the most stable is b) and the least stable is a).

***

a) {"formula": "AsPAuC2", "functional": "PBE", "state": "optimized geometry", "cell": [[2.661, -1.533, 0.000], [2.661, 1.533, 0.000], [-1.785, 0.000, 7.987]], "species": ["As", "P", "Au", "C", "C"], "frac_coords": [[0.000, 0.000, 0.000], [0.553, 0.553, 0.657], [0.104, 0.104, 0.310], [0.196, 0.196, 0.587], [0.627, 0.627, 0.881]], "space_group": "Cm (8)"}

***

b) {"formula": "AsPAuC2", "functional": "PBE", "state": "optimized geometry", "cell": [[3.417, 0.000, 0.000], [0.000, 3.026, 0.000], [-1.614, 0.000, 6.548]], "species": ["As", "P", "Au", "C", "C"], "frac_coords": [[0.000, 0.000, 0.000], [0.684, 0.500, 0.347], [0.357, 0.000, 0.712], [0.109, 0.500, 0.200], [0.751, 0.000, 0.493]], "space_group": "Pm (6)"}

***

Of them, the most stable is a) and the least stable is b).

***

a) {"formula": "AsPAuC2", "functional": "PBE", "state": "optimized geometry", "cell": [[2.997, 0.000, 0.000], [0.000, 1.491, 7.910], [0.000, -1.491, 7.910]], "species": ["As", "P", "Au", "C", "C"], "frac_coords": [[0.000, 0.000, 0.000], [0.500, 0.346, 0.346], [0.000, 0.158, 0.158], [0.000, 0.289, 0.289], [0.500, 0.919, 0.919]], "space_group": "Amm2 (38)"}

***

b) {"formula": "AsPAuC2", "functional": "PBE", "state": "optimized geometry", "cell": [[5.422, -1.447, 0.000], [5.422, 1.447, 0.000], [-2.541, 0.000, 4.699]], "species": ["As", "P", "Au", "C", "C"], "frac_coords": [[0.000, 0.000, 0.000], [0.310, 0.310, 0.421], [0.142, 0.142, 0.606], [0.189, 0.189, 0.054], [0.920, 0.920, 0.560]], "space_group": "Cm (8)"}

***

Of them, the most stable is a) and the least stable is b).

***

a) {"formula": "AsPAuC2", "functional": "PBE", "state": "optimized geometry", "cell": [[3.846, 0.000, 0.000], [0.000, 3.937, 0.000], [0.000, 0.000, 6.047]], "species": ["As", "P", "Au", "C", "C"], "frac_coords": [[0.000, 0.000, 0.000], [0.000, 0.000, 0.533], [0.000, 0.500, 0.282], [0.325, 0.000, 0.747], [0.675, 0.000, 0.747]], "space_group": "Pmm2 (25)"}

***

b) {"formula": "AsPAuC2", "functional": "PBE", "state": "optimized geometry", "cell": [[5.011, -1.449, 0.000], [5.011, 1.449, 0.000], [-3.696, 0.000, 5.551]], "species": ["As", "P", "Au", "C", "C"], "frac_coords": [[0.000, 0.000, 0.000], [0.219, 0.219, 0.549], [0.370, 0.370, 0.350], [0.006, 0.006, 0.306], [0.772, 0.772, 0.730]], "space_group": "Cm (8)"}

***

Of them, the most stable is a) and the least stable is b).

***

a) {"formula": "AsPAuC2", "functional": "PBE", "state": "optimized geometry", "cell": [[5.216, -1.513, 0.000], [5.216, 1.513, 0.000], [-0.268, 0.000, 5.254]], "species": ["As", "P", "Au", "C", "C"], "frac_coords": [[0.000, 0.000, 0.000], [0.525, 0.525, 0.488], [0.302, 0.302, 0.387], [0.098, 0.098, 0.350], [0.562, 0.562, 0.819]], "space_group": "Cm (8)"}

***

b) {"formula": "AsPAuC2", "functional": "PBE", "state": "optimized geometry", "cell": [[5.268, 0.000, 0.000], [0.000, 2.999, 0.000], [-1.495, 0.000, 5.197]], "species": ["As", "P", "Au", "C", "C"], "frac_coords": [[0.000, 0.000, 0.000], [0.500, 0.500, 0.946], [0.672, 0.500, 0.404], [0.309, 0.000, 0.860], [0.780, 0.500, 0.810]], "space_group": "Pm (6)"}

***

Of them, the most stable is a) and the least stable is b).